Entry 1:
DFT (PBE-GGA) results for a relaxed structure of Li2AcTmSb2.

Lattice parameters (Å, degrees): 4.756 4.756 7.657 90.00 90.00 120.00
Atoms (fractional coordinates):
Li 0.667 0.333 0.301
Li 0.333 0.667 0.699
Ac 0.000 0.000 0.000
Tm 0.000 0.000 0.500
Sb 0.667 0.333 0.720
Sb 0.333 0.667 0.280

Properties
energy relative to the elements, uncorrected: -0.83 eV/atom
final energy: -25.6 eV for the cell shown
N(E_F): 2.06 states/eV per cell
density: 7.233 g cm⁻³
space-group type: P-3m1, No. 164

---

Entry 2:
DFT (PBE-GGA) results for a relaxed structure of LiAcTmSb.

Lattice parameters (Å, degrees): 5.459 5.459 5.459 60.00 60.00 60.00
Atoms (fractional coordinates):
Sb 0.500 0.500 0.500
Ac 0.250 0.250 0.250
Tm 0.750 0.750 0.750
Li 0.000 0.000 0.000

Properties
energy relative to the elements, uncorrected: -0.34 eV/atom
final energy: -16.0 eV for the cell shown
N(E_F): 4.48 states/eV per cell
density: 7.575 g cm⁻³
space-group type: F-43m, No. 216

---

Entry 3:
DFT (PBE-GGA) results for a relaxed structure of LiAcYSb.

Lattice parameters (Å, degrees): 5.478 5.478 5.478 60.00 60.00 60.00
Atoms (fractional coordinates):
Y 0.750 0.750 0.750
Sb 0.000 0.000 0.000
Ac 0.250 0.250 0.250
Li 0.500 0.500 0.500

Properties
energy relative to the elements, uncorrected: -0.40 eV/atom
final energy: -18.2 eV for the cell shown
N(E_F): 4.22 states/eV per cell
density: 6.351 g cm⁻³
space-group type: F-43m, No. 216

---

Entry 4:
DFT (PBE-GGA) results for a relaxed structure of LiAcSc2.

Lattice parameters (Å, degrees): 3.465 3.465 11.867 81.61 81.61 60.00
Atoms (fractional coordinates):
Sc 0.087 0.087 0.739
Sc 0.913 0.913 0.261
Ac 0.500 0.500 0.500
Li 0.000 0.000 0.000

Properties
DFT formation energy: 1.49 eV per formula unit
final energy: -17.2 eV for the cell shown
N(E_F): 5.09 states/eV per cell
density: 4.422 g cm⁻³
space-group type: R-3m, No. 166
E above lowest polymorph: 195.4 meV/atom

---

Entry 5:
DFT (PBE-GGA) results for a relaxed structure of LiAc2Sc.

Lattice parameters (Å, degrees): 5.758 5.758 5.758 60.00 60.00 60.00
Atoms (fractional coordinates):
Sc 0.000 0.000 0.000
Ac 0.250 0.250 0.250
Ac 0.750 0.750 0.750
Li 0.500 0.500 0.500

Properties
DFT formation energy: 0.49 eV per formula unit
final energy: -16.0 eV for the cell shown
N(E_F): 3.73 states/eV per cell
density: 6.224 g cm⁻³
space-group type: Fm-3m, No. 225
E above lowest polymorph: 32.1 meV/atom

---

Entry 6:
DFT (PBE-GGA) results for a relaxed structure of LiAc2Sc.

Lattice parameters (Å, degrees): 4.051 4.051 8.383 90.00 90.00 90.00
Atoms (fractional coordinates):
Sc 0.500 0.500 0.000
Ac 0.000 0.000 0.751
Ac 0.000 0.000 0.249
Li 0.500 0.500 0.500

Properties
DFT formation energy: 0.36 eV per formula unit
final energy: -16.1 eV for the cell shown
N(E_F): 4.24 states/eV per cell
density: 6.105 g cm⁻³
space-group type: P4/mmm, No. 123
E above lowest polymorph: 0.0 meV/atom